Entry w
Compound: LiTiP2O
Source: Alexandria via LeMat-Bulk
Functional: PBE-GGA
Structure: optimized geometry

Magnetization   0.00 μB/cell

Geometry as POSCAR:
```
LiTiP2O
1.0
-1.6323 4.1263 -0.2373
-2.7893 -0.9115 3.3370
2.3217 1.0464 2.2264
Li O Ti P
1 1 1 2
Cartesian
0.0000 0.0000 0.0000
1.1608 0.5232 1.1132
-1.0500 2.1306 2.6631
-0.8161 2.0631 -0.1187
-1.3947 -0.4557 1.6685
```

---

Entry x
Compound: LiTiP2O
Source: Alexandria via LeMat-Bulk
Functional: PBE-GGA
Structure: optimized geometry

Magnetization   0.97 μB/cell

Geometry as POSCAR:
```
LiTiP2O
1.0
4.9786 0.0000 0.0000
0.0000 4.9786 0.0000
0.0000 0.0000 3.6828
O Li Ti P
1 1 1 2
Cartesian
0.0000 0.0000 1.8414
2.4893 2.4893 1.8414
0.0000 0.0000 0.0000
2.4893 0.0000 0.0000
0.0000 2.4893 0.0000
```

---

Which of them is the most stable? Correct choice: entry x.

---

Entry w
Compound: LiTiPO2
Source: Alexandria via LeMat-Bulk
Functional: PBE-GGA
Structure: optimized geometry

Magnetization   0.00 μB/cell

Geometry as POSCAR:
```
LiTiPO2
1.0
-2.1445 -0.2910 2.9450
2.6111 -1.8978 1.7138
1.5611 3.4853 1.4811
O Ti Li P
2 1 1 1
Cartesian
-1.0722 -0.1455 1.4725
1.3055 -0.9489 0.8569
1.0138 0.6483 3.0700
0.0000 0.0000 0.0000
0.7805 1.7427 0.7406
```

---

Entry x
Compound: LiTiPO2
Source: Alexandria via LeMat-Bulk
Functional: PBE-GGA
Structure: optimized geometry

Magnetization   0.17 μB/cell

Geometry as POSCAR:
```
LiTiPO2
1.0
3.7705 0.0000 0.0000
0.0000 3.7705 0.0000
0.0000 0.0000 5.3626
Ti P O Li
1 1 2 1
Cartesian
0.0000 0.0000 0.0000
0.0000 0.0000 2.6813
0.0000 1.8852 0.0000
1.8852 0.0000 0.0000
1.8852 1.8852 2.6813
```

---

Which of them is the most stable? Correct choice: entry x.

---

Entry w
Compound: LiTlP2O
Source: Alexandria via LeMat-Bulk
Functional: PBE-GGA
Structure: optimized geometry

Magnetization   2.28 μB/cell

Geometry as POSCAR:
```
LiTlP2O
1.0
5.2536 0.0000 0.0000
0.0000 5.2536 0.0000
0.0000 0.0000 4.3300
Li P O Tl
1 2 1 1
Cartesian
2.6268 2.6268 2.1650
2.6268 0.0000 0.0000
0.0000 2.6268 0.0000
0.0000 0.0000 2.1650
0.0000 0.0000 0.0000
```

---

Entry x
Compound: LiTlP2O
Source: Alexandria via LeMat-Bulk
Functional: PBE-GGA
Structure: optimized geometry

Magnetization   0.01 μB/cell

Geometry as POSCAR:
```
LiTlP2O
1.0
4.9467 0.0000 0.0000
0.0000 4.9467 0.0000
0.0000 0.0000 3.4265
Li O Tl P
1 1 1 2
Cartesian
0.0000 0.0000 0.0000
0.0000 0.0000 1.7133
2.4734 2.4734 1.7133
2.4734 0.0000 0.0000
0.0000 2.4734 0.0000
```

---

Which of them is the most stable? Correct choice: entry x.